[1]
# TlGeSe2

An optimized crystal structure of TlGeSe2 (PBE-GGA, Alexandria).

POSCAR file:
```
TlGeSe2
1.0
1.8507 1.0685 9.3599
-1.8507 1.0685 9.3599
0.0000 -2.1370 9.3599
Tl Ge Se
1 1 2
Direct
0.0000 0.0000 0.0000 Tl
0.5000 0.5000 0.5000 Ge
0.1129 0.1129 0.1129 Se
0.8871 0.8871 0.8871 Se
```

- raw formation energy (eV per atom) = -0.14
- spin magnetization (μB/cell) = 0.0
- raw total energy (hartree per atom) = -0.133

***

[2]
# Te2Mo3WS6

An optimized crystal structure of Te2Mo3WS6 (PBE-GGA, Alexandria).

POSCAR file:
```
Te2Mo3WS6
1.0
3.2723 0.0000 0.0000
-1.6362 2.8339 0.0000
0.0000 0.0000 28.5170
Te Mo W S
2 3 1 6
Direct
0.0000 0.0000 0.0000 Te
0.0000 0.0000 0.1354 Te
0.0000 0.0000 0.3265 Mo
0.0000 0.0000 0.8110 Mo
0.3333 0.6667 0.0677 Mo
0.3333 0.6667 0.5692 W
0.0000 0.0000 0.5151 S
0.0000 0.0000 0.6234 S
0.3333 0.6667 0.2726 S
0.3333 0.6667 0.3804 S
0.3333 0.6667 0.7571 S
0.3333 0.6667 0.8649 S
```

- raw formation energy (eV per atom) = -0.66
- spin magnetization (μB/cell) = 0.0
- raw total energy (hartree per atom) = -0.258

***

[3]
# Pr2SmY3Er6

An optimized crystal structure of Pr2SmY3Er6 (PBE-GGA, Alexandria).

POSCAR file:
```
Pr2SmY3Er6
1.0
3.0953 -5.3569 0.0000
3.0953 5.3569 0.0000
-2.0571 0.0000 11.6066
Pr Sm Y Er
2 1 3 6
Direct
0.1667 0.8333 0.0000 Pr
0.8333 0.1667 0.0000 Pr
0.5000 0.5000 0.0000 Sm
0.0000 0.0000 0.5000 Y
0.3334 0.6666 0.5000 Y
0.6666 0.3334 0.5000 Y
0.0825 0.4154 0.7474 Er
0.2517 0.2517 0.2526 Er
0.4154 0.0825 0.7474 Er
0.5846 0.9175 0.2526 Er
0.7483 0.7483 0.7474 Er
0.9175 0.5846 0.2526 Er
```

- spin magnetization (μB/cell) = 0.0
- formation energy from the elements (eV/atom) = 0.023
- raw total energy (hartree per atom) = -0.186

***

[4]
# RbYGe2

An optimized crystal structure of RbYGe2 (PBE-GGA, Alexandria).

POSCAR file:
```
RbYGe2
1.0
-2.8356 2.8356 9.7903
2.8356 -2.8356 9.7903
2.8356 2.8356 -9.7903
Rb Y Ge
2 2 4
Direct
0.0000 0.0000 0.0000 Rb
0.7500 0.2500 0.5000 Rb
0.2500 0.7500 0.5000 Y
0.5000 0.5000 0.0000 Y
0.3381 0.6250 0.2131 Ge
0.3750 0.5881 0.7131 Ge
0.4119 0.1250 0.7869 Ge
0.8750 0.6619 0.2869 Ge
```

- spin magnetization (μB/cell) = 0.0
- formation energy from the elements (eV/atom) = 0.110
- raw total energy (hartree per atom) = -0.149

***

[5]
# YGa2Ag3

An optimized crystal structure of YGa2Ag3 (PBE-GGA, Alexandria).

POSCAR file:
```
YGa2Ag3
1.0
7.1980 -3.9993 0.0000
7.1980 3.9993 0.0000
-1.3369 0.0000 4.1789
Y Ga Ag
2 4 6
Direct
0.1334 0.1334 0.1331 Y
0.8666 0.8666 0.8669 Y
0.1544 0.8456 0.5000 Ga
0.3077 0.3077 0.8085 Ga
0.6923 0.6923 0.1915 Ga
0.8456 0.1544 0.5000 Ga
0.1266 0.5258 0.3271 Ag
0.3300 0.6700 0.0000 Ag
0.4742 0.8734 0.6729 Ag
0.5258 0.1266 0.3271 Ag
0.6700 0.3300 0.0000 Ag
0.8734 0.4742 0.6729 Ag
```

- spin magnetization (μB/cell) = 0.0
- formation energy from the elements (eV/atom) = -0.238
- raw total energy (hartree per atom) = -0.138

***

[6]
# SmAl2Ag

An optimized crystal structure of SmAl2Ag (PBE-GGA, Alexandria).

POSCAR file:
```
SmAl2Ag
1.0
2.1971 1.2685 5.2461
-2.1971 1.2685 5.2461
0.0000 -2.5369 5.2461
Sm Al Ag
1 2 1
Direct
0.0000 0.0000 0.0000 Sm
0.2122 0.2122 0.2122 Al
0.7878 0.7878 0.7878 Al
0.5000 0.5000 0.5000 Ag
```

- spin magnetization (μB/cell) = 0.0
- formation energy from the elements (eV/atom) = -0.317
- raw total energy (hartree per atom) = -0.150

***

[7]
# AlTc2Se

An optimized crystal structure of AlTc2Se (PBE-GGA, Alexandria).

POSCAR file:
```
AlTc2Se
1.0
-2.0245 2.0245 3.7377
2.0245 -2.0245 3.7377
2.0245 2.0245 -3.7377
Al Tc Se
1 2 1
Direct
0.0000 0.0000 0.0000 Al
0.5000 0.5000 0.0000 Tc
0.7500 0.2500 0.5000 Tc
0.2500 0.7500 0.5000 Se
```

- raw formation energy (eV per atom) = 0.23
- spin magnetization (μB/cell) = 0.0
- raw total energy (hartree per atom) = -0.249

***

[8]
# PrMgMnC

An optimized crystal structure of PrMgMnC (PBE-GGA, Alexandria).

POSCAR file:
```
PrMgMnC
1.0
3.6766 0.0000 0.0000
0.0000 3.6766 0.0000
0.0000 0.0000 10.9773
Pr Mg Mn C
2 2 2 2
Direct
0.2500 0.2500 0.2147 Pr
0.7500 0.7500 0.7853 Pr
0.2500 0.7500 0.5000 Mg
0.7500 0.2500 0.5000 Mg
0.2500 0.7500 0.0000 Mn
0.7500 0.2500 0.0000 Mn
0.2500 0.2500 0.9290 C
0.7500 0.7500 0.0710 C
```

- spin magnetization (μB/cell) = 2.2
- formation energy from the elements (eV/atom) = 0.078
- raw total energy (hartree per atom) = -0.225

***

[9]
# La2TbCu9

An optimized crystal structure of La2TbCu9 (PBE-GGA, Alexandria).

POSCAR file:
```
La2TbCu9
1.0
2.6100 1.5069 8.5421
-2.6100 1.5069 8.5421
0.0000 -3.0138 8.5421
La Tb Cu
2 1 9
Direct
0.1424 0.1424 0.1424 La
0.8576 0.8576 0.8576 La
0.0000 0.0000 0.0000 Tb
0.0846 0.5757 0.5757 Cu
0.3314 0.3314 0.3314 Cu
0.4243 0.4243 0.9154 Cu
0.4243 0.9154 0.4243 Cu
0.5000 0.5000 0.5000 Cu
0.5757 0.0846 0.5757 Cu
0.5757 0.5757 0.0846 Cu
0.6686 0.6686 0.6686 Cu
0.9154 0.4243 0.4243 Cu
```

- spin magnetization (μB/cell) = 0.0
- formation energy from the elements (eV/atom) = -0.144
- raw total energy (hartree per atom) = -0.163

***

[10]
# Rb2ScBO4

An optimized crystal structure of Rb2ScBO4 (PBE-GGA, Alexandria).

POSCAR file:
```
Rb2ScBO4
1.0
0.0000 5.8351 11.0194
2.3995 0.0000 11.0194
2.3995 5.8351 0.0000
Rb Sc B O
4 2 2 8
Direct
0.0507 0.0507 0.6993 Rb
0.3007 0.3007 0.9493 Rb
0.6993 0.6993 0.0507 Rb
0.9493 0.9493 0.3007 Rb
0.1250 0.1250 0.1250 Sc
0.8750 0.8750 0.8750 Sc
0.3750 0.3750 0.3750 B
0.6250 0.6250 0.6250 B
0.0744 0.5968 0.5223 O
0.3065 0.5223 0.5968 O
0.4032 0.9256 0.6935 O
0.4777 0.6935 0.9256 O
0.5223 0.3065 0.0744 O
0.5968 0.0744 0.3065 O
0.6935 0.4777 0.4032 O
0.9256 0.4032 0.4777 O
```

- raw formation energy (eV per atom) = -2.23
- spin magnetization (μB/cell) = 0.0
- raw total energy (hartree per atom) = -0.242

***

[11]
# CdTeCl2

An optimized crystal structure of CdTeCl2 (PBE-GGA, Alexandria).

POSCAR file:
```
CdTeCl2
1.0
-2.0296 2.0296 6.3273
2.0296 -2.0296 6.3273
2.0296 2.0296 -6.3273
Cd Te Cl
1 1 2
Direct
0.0000 0.0000 0.0000 Cd
0.7500 0.2500 0.5000 Te
0.2500 0.7500 0.5000 Cl
0.5000 0.5000 0.0000 Cl
```

- raw formation energy (eV per atom) = -0.16
- spin magnetization (μB/cell) = 0.0
- raw total energy (hartree per atom) = -0.077

***

[12]
# RbScSeI2

An optimized crystal structure of RbScSeI2 (PBE-GGA, Alexandria).

POSCAR file:
```
RbScSeI2
1.0
6.0162 0.0000 0.0000
0.0000 6.0162 0.0000
0.0000 0.0000 5.1100
Rb Sc Se I
1 1 1 2
Direct
0.0000 0.0000 0.0000 Rb
0.5000 0.5000 0.5000 Sc
0.5000 0.5000 0.0000 Se
0.0000 0.5000 0.5000 I
0.5000 0.0000 0.5000 I
```

- raw formation energy (eV per atom) = -1.32
- spin magnetization (μB/cell) = 0.0
- raw total energy (hartree per atom) = -0.150

***

What did the fifth record say?
# YGa2Ag3

An optimized crystal structure of YGa2Ag3 (PBE-GGA, Alexandria).

POSCAR file:
```
YGa2Ag3
1.0
7.1980 -3.9993 0.0000
7.1980 3.9993 0.0000
-1.3369 0.0000 4.1789
Y Ga Ag
2 4 6
Direct
0.1334 0.1334 0.1331 Y
0.8666 0.8666 0.8669 Y
0.1544 0.8456 0.5000 Ga
0.3077 0.3077 0.8085 Ga
0.6923 0.6923 0.1915 Ga
0.8456 0.1544 0.5000 Ga
0.1266 0.5258 0.3271 Ag
0.3300 0.6700 0.0000 Ag
0.4742 0.8734 0.6729 Ag
0.5258 0.1266 0.3271 Ag
0.6700 0.3300 0.0000 Ag
0.8734 0.4742 0.6729 Ag
```

- spin magnetization (μB/cell) = 0.0
- formation energy from the elements (eV/atom) = -0.238
- raw total energy (hartree per atom) = -0.138

***

Among the records above, which one has the highest spin magnetization?
PrMgMnC

***

What is the formula in the first record?
TlGeSe2